First-principles (GGA-PBE) data for crystalline Y10HoEr2 at its relaxed geometry, as listed in the Alexandria database.

Summary:
* raw total energy: -5.7342 eV/atom
* ρ: 5.26 Mg/m³
* DFT formation energy: 0.292 eV per atom

a b c (Å): 11.6237 9.2540 8.4152
angles (deg): 82.12 52.06 45.82
With the nearest neighbours (Å) after each atom.
Atoms (fractional coordinates):
Y: 0.0000 0.5000 0.0000  10 Y 3.27-3.55
Y: 0.0028 0.7956 0.2044  5 Y 3.21-3.53, 2 Er 3.30
Y: 0.1504 0.5136 0.4864  2 Er 3.50, 8 Y 3.53-3.90
Y: 0.2044 0.9972 0.0028  5 Y 3.21-3.53, 2 Er 3.30
Y: 0.4864 0.8496 0.1504  2 Er 3.50, 8 Y 3.53-3.90
Y: 0.5000 0.0000 0.5000  10 Y 3.27-3.55
Y: 0.5136 0.1504 0.8496  2 Er 3.50, 8 Y 3.53-3.90
Y: 0.7956 0.0028 0.9972  5 Y 3.21-3.53, 2 Er 3.30
Y: 0.8496 0.4864 0.5136  2 Er 3.50, 8 Y 3.53-3.90
Y: 0.9972 0.2044 0.7956  5 Y 3.21-3.53, 2 Er 3.30
Ho: 0.5000 0.5000 0.5000  12 Y 4.04-4.05, 4 Er 4.21
Er: 0.0000 0.0000 0.5000  2 Er 3.27, 8 Y 3.30-3.50
Er: 0.5000 0.5000 0.0000  2 Er 3.27, 8 Y 3.30-3.50

***

First-principles (GGA-PBE) data for crystalline ThCoH6Rh at its relaxed geometry, as listed in the Alexandria database.

Summary:
* raw total energy: -5.0155 eV/atom
* ρ: 8.71 Mg/m³

a b c (Å): 4.5758 4.5758 4.2043
angles (deg): 90.00 90.00 120.00
With the nearest neighbours (Å) after each atom.
Atoms (fractional coordinates):
Th: 0.0000 0.0000 0.0000  12 H 2.50
Co: 0.6667 0.3333 0.5000  6 H 1.65
H: 0.5110 0.0220 0.2384  1 Co 1.65, 1 Rh 1.79
H: 0.5110 0.0220 0.7616  1 Co 1.65, 1 Rh 1.79
H: 0.5110 0.4890 0.2384  1 Co 1.65, 1 Rh 1.79
H: 0.5110 0.4890 0.7616  1 Co 1.65, 1 Rh 1.79
H: 0.9780 0.4890 0.2384  1 Co 1.65, 1 Rh 1.79
H: 0.9780 0.4890 0.7616  1 Co 1.65, 1 Rh 1.79
Rh: 0.3333 0.6667 0.5000  6 H 1.79